Entry 1:
Here is a relaxed Eu2AuS crystal from Alexandria. Energies are from PBE-GGA.

POSCAR file:
```
Eu2AuS
1.0
3.657 0.000 0.000
0.000 3.657 0.000
0.000 0.000 7.368
Eu Au S
2 1 1
Direct
0.000 0.000 0.234
0.000 0.000 0.766
0.500 0.500 0.500
0.500 0.500 0.000
```

## Properties
ΔE_f (raw) ... -5.1 eV per formula unit
Total magnetization ... 14.4 μB/f.u.
DOS at the Fermi energy ... 9.2 states/eV/cell
Energy relative to the lowest polymorph listed for this composition ... 0.076 eV per atom


Entry 2:
Here is a relaxed EuSb2Au crystal from Alexandria. Energies are from PBE-GGA.

POSCAR file:
```
EuSb2Au
1.0
2.094 1.209 9.250
-2.094 1.209 9.250
0.000 -2.418 9.250
Eu Sb Au
1 2 1
Direct
0.000 0.000 0.000
0.118 0.118 0.118
0.882 0.882 0.882
0.500 0.500 0.500
```

## Properties
ΔE_f (raw) ... 0.0 eV per formula unit
Total magnetization ... 7.8 μB/f.u.
DOS at the Fermi energy ... 2.2 states/eV/cell


Entry 3:
Here is a relaxed EuSb2Au crystal from Alexandria. Energies are from PBE-GGA.

POSCAR file:
```
EuSb2Au
1.0
4.785 0.000 0.000
0.000 4.785 0.000
0.000 0.000 4.383
Eu Sb Au
1 2 1
Direct
0.000 0.000 0.000
0.000 0.500 0.500
0.500 0.000 0.500
0.500 0.500 0.000
```

## Properties
ΔE_f (raw) ... -2.1 eV per formula unit
Total magnetization ... 6.8 μB/f.u.
DOS at the Fermi energy ... 2.5 states/eV/cell


Entry 4:
Here is a relaxed Eu2SbAu crystal from Alexandria. Energies are from PBE-GGA.

POSCAR file:
```
Eu2SbAu
1.0
2.727 1.574 4.452
-2.727 1.574 4.452
0.000 -3.149 4.452
Eu Sb Au
2 1 1
Direct
0.000 0.000 0.000
0.500 0.500 0.500
0.250 0.250 0.250
0.751 0.751 0.751
```

## Properties
ΔE_f (raw) ... -3.7 eV per formula unit
Total magnetization ... 0.0 μB/f.u.
DOS at the Fermi energy ... 0.0 states/eV/cell